Entry from the Alexandria database: K3MnMo2O8 after structural relaxation (GGA+U).

Results
Energy ... -6.334 eV/atom
DOS(E_F) ... 0.551 states/eV per atom

Cell lengths 5.9922, 5.9922, 7.6667 Å; angles 90.00, 90.00, 120.00 degrees
Space group P-3m1 (No. 164)
Asymmetric unit:
K1 0.0000 0.0000 0.0000 x1
K2 0.3333 0.6667 0.6643 x2
Mn1 0.0000 0.0000 0.5000 x1
Mo1 0.3333 0.6667 0.2320 x2
O1 0.1684 0.3367 0.3232 x6
O2 0.3333 0.6667 0.9984 x2